Below is crystalline SrPmMgAl at its relaxed geometry, with properties calculated at the PBE level.

Structure (POSCAR):
```
SrPmMgAl
1.0
0.0000 3.8949 3.8949
3.8949 0.0000 3.8949
3.8949 3.8949 0.0000
Sr Pm Mg Al
1 1 1 1
direct
0.0000 0.0000 0.0000
0.5000 0.5000 0.5000
0.2500 0.2500 0.2500
0.7500 0.7500 0.7500
```

Calculated values
The space-group type is F-43m, No. 216. The spin magnetization is 0.00 μB per formula unit. The volume comes out at 29.5 A^3/atom. The calculation puts the calculated density at 3989 kg/m³. The calculation puts the total DFT energy (no corrections) at -3.067 eV per atom. For the formation energy, the calculation gives -0.124 eV/atom.